(1)
Below is an optimized crystal structure of Zr4AlRh, with properties calculated at the PBE level.

For the distance to the lowest polymorph of the same formula, the calculation gives 106 meV per atom. As for the size of the total moment: 0.00 μB/atom. Its density of states at the Fermi level is 28.794 states/eV/cell. Its formation energy is -1.993 eV/f.u.

The structure belongs to space group C2/c (No. 15); the cell edges are 7.9205, 12.5157 and 5.4101 Å and the angles 90.00°, 109.77° and 90.00°. The asymmetric unit holds Zr at (0.1104, 0.1889, 0.0697), Zr at (0.2058, 0.4185, 0.3403), Al at (0.0000, 0.3802, 0.7500) and Rh at (0.0000, 0.0065, 0.7500).

---

(2)
Below is an optimized crystal structure of Cd2SnHg2, with properties calculated at the PBE level.

For the distance to the lowest polymorph of the same formula, the calculation gives 69 meV per atom. As for the size of the total moment: 0.00 μB/atom. Its density of states at the Fermi level is 4.556 states/eV/cell. Its formation energy is 0.583 eV/f.u.

The structure belongs to space group I4/mmm (No. 139); the cell edges are 4.2888, 4.2888 and 14.2312 Å and the angles 90.00°, 90.00° and 90.00°. The asymmetric unit holds Cd at (0.0000, 0.0000, 0.0987), Sn at (0.0000, 0.0000, 0.5000) and Hg at (0.0000, 0.5000, 0.2500).

---

(3)
Below is an optimized crystal structure of Rb4ZnF2, with properties calculated at the PBE level.

As for the size of the total moment: 0.06 μB/atom. Its density of states at the Fermi level is 7.972 states/eV/cell. Its raw formation energy is -1.07 eV per atom.

The structure belongs to space group I4/mmm (No. 139); the cell edges are 6.2584, 6.2584 and 16.0126 Å and the angles 90.00°, 90.00° and 90.00°. The asymmetric unit holds Rb at (0.0000, 0.0000, 0.2469), Rb at (0.0000, 0.5000, 0.0000), Zn at (0.0000, 0.0000, 0.5000) and F at (0.0000, 0.0000, 0.0932).